(1)
First-principles (PBE) data for crystalline V6Fe2Co at its relaxed geometry, as listed in Alexandria.

a b c (Å): 6.610 6.610 6.610
angles (deg): 144.12 130.54 62.60
Fractional positions:
V1 0.073 0.831 0.243
V2 0.252 0.500 0.752
V3 0.412 0.169 0.243
V4 0.588 0.831 0.757
V5 0.748 0.500 0.248
V6 0.927 0.169 0.757
Fe1 0.166 0.666 0.500
Fe2 0.834 0.334 0.500
Co1 0.500 0.000 0.500

Properties
Symmetry: No. 71
ΔE_f in kJ/mol of atoms: 31.6
Calculated total energy in eV per cell: -75.80
Density in g/cm3: 6.22


(2)
First-principles (PBE) data for crystalline RbBa3Re at its relaxed geometry, as listed in Alexandria.

a b c (Å): 6.068 6.068 6.068
angles (deg): 90.00 90.00 90.00
Fractional positions:
Rb1 0.000 0.000 0.000
Ba1 0.000 0.000 0.500
Ba2 0.000 0.500 0.000
Ba3 0.500 0.000 0.000
Re1 0.500 0.500 0.500

Properties
Symmetry: No. 221
ΔE_f in kJ/mol of atoms: 202.6
Calculated total energy in eV per cell: -8.68
Density in g/cm3: 5.08
ΔE to the lowest computed polymorph in eV per atom: 1.431


(3)
First-principles (PBE) data for crystalline AuSeCl at its relaxed geometry, as listed in Alexandria.

a b c (Å): 3.914 3.914 5.233
angles (deg): 90.00 90.00 120.00
Fractional positions:
Au1 0.000 0.000 0.000
Se1 0.667 0.333 0.765
Cl1 0.333 0.667 0.314

Properties
Symmetry: No. 156
Calculated total energy in eV per cell: -8.42
Energy relative to the elements, uncorrected in kJ per mole of atoms: 6.2
Density in g/cm3: 7.45


(4)
First-principles (PBE) data for crystalline HoSnRh at its relaxed geometry, as listed in Alexandria.

a b c (Å): 6.116 6.116 6.116
angles (deg): 148.37 148.37 45.34
Fractional positions:
Ho1 0.000 0.000 0.000
Sn1 0.295 0.295 0.000
Rh1 0.658 0.658 0.000

Properties
Symmetry: No. 107
ΔE_f in kJ/mol of atoms: -64.2
Calculated total energy in eV per cell: -17.93
Density in g/cm3: 10.23


(5)
First-principles (PBE) data for crystalline PmB2Ir4 at its relaxed geometry, as listed in Alexandria.

a b c (Å): 5.562 5.562 5.562
angles (deg): 135.04 119.15 78.77
Fractional positions:
Pm1 0.000 0.000 0.000
B1 0.500 0.213 0.713
B2 0.500 0.787 0.287
Ir1 0.101 0.339 0.762
Ir2 0.423 0.661 0.762
Ir3 0.577 0.339 0.238
Ir4 0.899 0.661 0.238

Properties
Symmetry: No. 71
ΔE_f in kJ/mol of atoms: -2.5
Calculated total energy in eV per cell: -53.73
Density in g/cm3: 15.08


(6)
First-principles (PBE) data for crystalline DyPuC at its relaxed geometry, as listed in Alexandria.

a b c (Å): 6.333 6.333 6.333
angles (deg): 151.18 151.18 41.21
Fractional positions:
Dy1 0.000 0.000 0.000
Pu1 0.770 0.770 0.000
C1 0.378 0.378 0.000

Properties
Symmetry: No. 107
ΔE_f in kJ/mol of atoms: 24.8
Calculated total energy in eV per cell: -27.39
Density in g/cm3: 11.80
ΔE to the lowest computed polymorph in eV per atom: 0.340


Which value of density does entry 6 give?
11.80 g/cm3


Among the records above, which one has the highest calculated total energy?
AuSeCl


Number 3 is which compound?
AuSeCl